1.
Compound: LaNiOs2
Source: Alexandria via LeMat-Bulk
Functional: GGA-PBE
Structure: relaxed

abc: 2.825 2.825 9.309
angles: 90.00 90.00 115.89
Positions (direct):
Os 0.500 0.500 0.225
Os 0.000 0.000 0.993
La 0.000 0.000 0.505
Ni 0.500 0.500 0.777

Calculated values
* E above lowest polymorph: 0.818 eV/atom
* final energy: -30.22 eV per cell
* formation energy: 737.7 meV/atom

2.
Compound: BaNaGaAu2
Source: Alexandria via LeMat-Bulk
Functional: GGA-PBE
Structure: relaxed

abc: 4.484 4.484 8.801
angles: 90.00 90.00 120.00
Positions (direct):
Au 0.667 0.333 0.783
Au 0.333 0.667 0.274
Ba 0.000 0.000 0.019
Ga 0.667 0.333 0.321
Na 0.333 0.667 0.604

Calculated values
* final energy: -14.76 eV per cell
* formation energy: -388.3 meV/atom

3.
Compound: TaRe2Ir
Source: Alexandria via LeMat-Bulk
Functional: GGA-PBE
Structure: relaxed

abc: 4.467 4.467 4.467
angles: 60.00 60.00 60.00
Positions (direct):
Re 0.750 0.750 0.750
Re 0.250 0.250 0.250
Ir 0.500 0.500 0.500
Ta 0.000 0.000 0.000

Calculated values
* E above lowest polymorph: 0.386 eV/atom
* final energy: -44.92 eV per cell
* formation energy: 173.4 meV/atom

4.
Compound: Sc2FeTe
Source: Alexandria via LeMat-Bulk
Functional: GGA-PBE
Structure: relaxed

abc: 4.730 4.730 4.730
angles: 60.00 60.00 60.00
Positions (direct):
Sc 0.000 0.000 0.000
Sc 0.250 0.250 0.250
Te 0.750 0.750 0.750
Fe 0.500 0.500 0.500

Calculated values
* ΔE_f (raw): 0.036 eV per atom
* final energy: -24.12 eV per cell

5.
Compound: CePm4Al5
Source: Alexandria via LeMat-Bulk
Functional: GGA-PBE
Structure: relaxed

abc: 3.679 3.679 18.637
angles: 90.00 90.00 90.00
Positions (direct):
Al 0.500 0.500 0.101
Al 0.500 0.500 0.899
Al 0.500 0.500 0.500
Al 0.500 0.500 0.700
Al 0.500 0.500 0.300
Pm 0.000 0.000 0.600
Pm 0.000 0.000 0.201
Pm 0.000 0.000 0.799
Pm 0.000 0.000 0.400
Ce 0.000 0.000 0.000

Calculated values
* final energy: -47.07 eV per cell
* formation energy: -342.1 meV/atom

6.
Compound: CuHgBrF2
Source: Alexandria via LeMat-Bulk
Functional: GGA-PBE
Structure: relaxed

abc: 3.938 3.938 5.988
angles: 90.00 90.00 90.00
Positions (direct):
F 0.500 0.000 0.000
F 0.000 0.500 0.000
Cu 0.000 0.000 0.000
Hg 0.000 0.000 0.500
Br 0.500 0.500 0.500

Calculated values
* ΔE_f (raw): -0.920 eV per atom
* final energy: -14.42 eV per cell

7.
Compound: NaSr4
Source: Alexandria via LeMat-Bulk
Functional: GGA-PBE
Structure: relaxed

abc: 6.591 6.591 6.591
angles: 90.00 90.00 90.00
Positions (direct):
Sr 0.500 0.000 0.500
Sr 0.000 0.500 0.500
Sr 0.000 0.000 0.000
Sr 0.500 0.500 0.000
Na 0.500 0.500 0.500

Calculated values
* E above lowest polymorph: 0.232 eV/atom
* final energy: -6.85 eV per cell
* formation energy: 239.9 meV/atom

8.
Compound: CePrPtO6
Source: Alexandria via LeMat-Bulk
Functional: GGA-PBE
Structure: relaxed

abc: 5.576 5.576 10.138
angles: 90.00 90.00 120.00
Positions (direct):
O 0.337 0.370 0.862
O 0.630 0.966 0.862
O 0.370 0.034 0.138
O 0.630 0.664 0.638
O 0.663 0.034 0.362
O 0.966 0.336 0.138
O 0.370 0.336 0.362
O 0.034 0.370 0.638
O 0.034 0.664 0.862
O 0.337 0.966 0.638
O 0.966 0.630 0.362
O 0.663 0.630 0.138
Pt 0.667 0.333 0.250
Pt 0.333 0.667 0.750
Pr 0.000 0.000 0.000
Pr 0.000 0.000 0.500
Ce 0.333 0.667 0.250
Ce 0.667 0.333 0.750

Calculated values
* ΔE_f (raw): -2.152 eV per atom
* final energy: -131.73 eV per cell

Which formula does entry 5 have?
CePm4Al5

final energy of number 3 (TaRe2Ir)?
-44.92 eV per cell

Which of these has the lowest final energy?
CePrPtO6

Copy entry 8 word for word.
Compound: CePrPtO6
Source: Alexandria via LeMat-Bulk
Functional: GGA-PBE
Structure: relaxed

abc: 5.576 5.576 10.138
angles: 90.00 90.00 120.00
Positions (direct):
O 0.337 0.370 0.862
O 0.630 0.966 0.862
O 0.370 0.034 0.138
O 0.630 0.664 0.638
O 0.663 0.034 0.362
O 0.966 0.336 0.138
O 0.370 0.336 0.362
O 0.034 0.370 0.638
O 0.034 0.664 0.862
O 0.337 0.966 0.638
O 0.966 0.630 0.362
O 0.663 0.630 0.138
Pt 0.667 0.333 0.250
Pt 0.333 0.667 0.750
Pr 0.000 0.000 0.000
Pr 0.000 0.000 0.500
Ce 0.333 0.667 0.250
Ce 0.667 0.333 0.750

Calculated values
* ΔE_f (raw): -2.152 eV per atom
* final energy: -131.73 eV per cell